1.
Material: Na3Mg
Method: DFT, PBE
State: optimized geometry

- DFT total energy: -1.26 eV per atom
- Space-group type: No. 194

POSCAR file:
```
Na3Mg
1.0
5.6896 0.0000 0.0000
-2.8448 4.9273 0.0000
0.0000 0.0000 10.0425
Na Mg
6 2
Direct
0.0000 0.0000 0.2500
0.0000 0.0000 0.7500
0.3333 0.6667 0.0812
0.3333 0.6667 0.4188
0.6667 0.3333 0.5812
0.6667 0.3333 0.9188
0.3333 0.6667 0.7500
0.6667 0.3333 0.2500
```

2.
Material: PrYHoCd
Method: DFT, PBE
State: optimized geometry

- Energy above the lowest structure with this stoichiometry: 0.000 eV/atom
- Space-group type: No. 99

POSCAR file:
```
PrYHoCd
1.0
3.6507 0.0000 0.0000
0.0000 3.6507 0.0000
0.0000 0.0000 9.0259
Pr Y Ho Cd
1 1 1 1
Direct
0.0000 0.0000 0.0000
0.5000 0.5000 0.7157
0.5000 0.5000 0.2787
0.0000 0.0000 0.4951
```